(1)
DFT (PBE-GGA) results for crystalline SmLuHg2 at its relaxed geometry.

Summary:
E_tot in eV for the cell shown: -11.74

a = 3.675 Å, b = 3.675 Å, c = 7.631 Å
α = 90.00°, β = 90.00°, γ = 90.00°
Site moments in Bohr magnetons follow the coordinates.
Fractional coordinates of all 4 atoms:
Lu (0.500, 0.500, 0.000)  -0.02
Hg (0.000, 0.000, 0.769)  -0.01
Hg (0.000, 0.000, 0.231)  -0.01
Sm (0.500, 0.500, 0.500)  -0.18

(2)
DFT (PBE-GGA) results for crystalline SmLu2Hg at its relaxed geometry.

Summary:
E_tot in eV for the cell shown: -15.00

a = 3.558 Å, b = 3.558 Å, c = 8.882 Å
α = 90.00°, β = 90.00°, γ = 90.00°
Fractional coordinates of all 4 atoms:
Lu (0.000, 0.000, 0.217)
Lu (0.000, 0.000, 0.783)
Hg (0.500, 0.500, 0.000)
Sm (0.500, 0.500, 0.500)

(3)
DFT (PBE-GGA) results for crystalline SmLu2Hg at its relaxed geometry.

Summary:
E_tot in eV for the cell shown: -14.66

a = 4.747 Å, b = 4.792 Å, c = 4.792 Å
α = 90.00°, β = 90.00°, γ = 90.00°
Site moments in Bohr magnetons follow the coordinates.
Fractional coordinates of all 4 atoms:
Sm (0.500, 0.500, 0.500)  0.14
Lu (0.000, 0.000, 0.500)  0.12
Lu (0.000, 0.500, 0.000)  0.12
Hg (0.500, 0.000, 0.000)  0.00

(4)
DFT (PBE-GGA) results for crystalline SmLu2Hg at its relaxed geometry.

Summary:
E_tot in eV for the cell shown: -14.72

a = 3.564 Å, b = 3.564 Å, c = 10.649 Å
α = 80.37°, β = 80.37°, γ = 60.00°
Fractional coordinates of all 4 atoms:
Lu (0.258, 0.258, 0.225)
Lu (0.742, 0.742, 0.775)
Sm (0.500, 0.500, 0.500)
Hg (0.000, 0.000, 0.000)

(5)
DFT (PBE-GGA) results for crystalline SmLuHg2 at its relaxed geometry.

Summary:
E_tot in eV for the cell shown: -11.69

a = 5.273 Å, b = 5.273 Å, c = 5.273 Å
α = 60.00°, β = 60.00°, γ = 60.00°
Fractional coordinates of all 4 atoms:
Hg (0.750, 0.750, 0.750)
Hg (0.250, 0.250, 0.250)
Lu (0.000, 0.000, 0.000)
Sm (0.500, 0.500, 0.500)

(6)
DFT (PBE-GGA) results for crystalline SmLuSnHg at its relaxed geometry.

Summary:
E_tot in eV for the cell shown: -15.67

a = 5.289 Å, b = 5.289 Å, c = 5.289 Å
α = 60.00°, β = 60.00°, γ = 60.00°
Fractional coordinates of all 4 atoms:
Hg (0.000, 0.000, 0.000)
Lu (0.750, 0.750, 0.750)
Sn (0.500, 0.500, 0.500)
Sm (0.250, 0.250, 0.250)

(7)
DFT (PBE-GGA) results for crystalline TbSmLuHg at its relaxed geometry.

Summary:
E_tot in eV for the cell shown: -14.47

a = 5.419 Å, b = 5.419 Å, c = 5.419 Å
α = 60.00°, β = 60.00°, γ = 60.00°
Fractional coordinates of all 4 atoms:
Lu (0.750, 0.750, 0.750)
Sm (0.000, 0.000, 0.000)
Tb (0.500, 0.500, 0.500)
Hg (0.250, 0.250, 0.250)

(8)
DFT (PBE-GGA) results for crystalline SmYLuHg at its relaxed geometry.

Summary:
E_tot in eV for the cell shown: -16.31

a = 5.421 Å, b = 5.421 Å, c = 5.421 Å
α = 60.00°, β = 60.00°, γ = 60.00°
Fractional coordinates of all 4 atoms:
Hg (0.000, 0.000, 0.000)
Sm (0.250, 0.250, 0.250)
Y (0.750, 0.750, 0.750)
Lu (0.500, 0.500, 0.500)

(9)
DFT (PBE-GGA) results for crystalline Lu2SnHg at its relaxed geometry.

Summary:
E_tot in eV for the cell shown: -14.93

a = 3.661 Å, b = 3.661 Å, c = 9.397 Å
α = 78.77°, β = 78.77°, γ = 60.00°
Fractional coordinates of all 4 atoms:
Lu (0.252, 0.252, 0.245)
Lu (0.748, 0.748, 0.755)
Hg (0.000, 0.000, 0.000)
Sn (0.500, 0.500, 0.500)

(10)
DFT (PBE-GGA) results for crystalline LuSnHg2 at its relaxed geometry.

Summary:
E_tot in eV for the cell shown: -10.45

a = 4.811 Å, b = 4.456 Å, c = 4.456 Å
α = 90.00°, β = 90.00°, γ = 90.00°
Fractional coordinates of all 4 atoms:
Sn (0.500, 0.000, 0.000)
Hg (0.000, 0.000, 0.500)
Hg (0.000, 0.500, 0.000)
Lu (0.500, 0.500, 0.500)

(11)
DFT (PBE-GGA) results for crystalline Lu2SnHg at its relaxed geometry.

Summary:
E_tot in eV for the cell shown: -15.34

a = 3.879 Å, b = 5.080 Å, c = 5.080 Å
α = 90.00°, β = 90.00°, γ = 90.00°
Fractional coordinates of all 4 atoms:
Hg (0.500, 0.500, 0.500)
Sn (0.500, 0.000, 0.000)
Lu (0.000, 0.000, 0.500)
Lu (0.000, 0.500, 0.000)

(12)
DFT (PBE-GGA) results for crystalline LuSn2Hg at its relaxed geometry.

Summary:
E_tot in eV for the cell shown: -14.21

a = 4.441 Å, b = 4.701 Å, c = 4.701 Å
α = 90.00°, β = 90.00°, γ = 90.00°
Fractional coordinates of all 4 atoms:
Hg (0.500, 0.000, 0.000)
Lu (0.500, 0.500, 0.500)
Sn (0.000, 0.500, 0.000)
Sn (0.000, 0.000, 0.500)

(13)
DFT (PBE-GGA) results for crystalline LuSnHg2 at its relaxed geometry.

Summary:
E_tot in eV for the cell shown: -10.04

a = 4.765 Å, b = 4.765 Å, c = 5.822 Å
α = 65.84°, β = 65.84°, γ = 60.00°
Fractional coordinates of all 4 atoms:
Sn (0.000, 0.000, 0.000)
Lu (0.500, 0.500, 0.500)
Hg (0.749, 0.749, 0.754)
Hg (0.251, 0.251, 0.246)

(14)
DFT (PBE-GGA) results for crystalline LuSnHg2 at its relaxed geometry.

Summary:
E_tot in eV for the cell shown: -10.04

a = 3.664 Å, b = 3.664 Å, c = 7.420 Å
α = 90.00°, β = 90.00°, γ = 90.00°
Fractional coordinates of all 4 atoms:
Hg (0.000, 0.000, 0.760)
Hg (0.000, 0.000, 0.240)
Sn (0.500, 0.500, 0.500)
Lu (0.500, 0.500, 0.000)

(15)
DFT (PBE-GGA) results for crystalline SrLuSnHg at its relaxed geometry.

Summary:
E_tot in eV for the cell shown: -12.42

a = 5.436 Å, b = 5.436 Å, c = 5.436 Å
α = 60.00°, β = 60.00°, γ = 60.00°
Fractional coordinates of all 4 atoms:
Lu (0.000, 0.000, 0.000)
Sr (0.500, 0.500, 0.500)
Hg (0.750, 0.750, 0.750)
Sn (0.250, 0.250, 0.250)

(16)
DFT (PBE-GGA) results for crystalline YLuSnHg at its relaxed geometry.

Summary:
E_tot in eV for the cell shown: -17.41

a = 5.245 Å, b = 5.245 Å, c = 5.245 Å
α = 60.00°, β = 60.00°, γ = 60.00°
Fractional coordinates of all 4 atoms:
Hg (0.500, 0.500, 0.500)
Lu (0.250, 0.250, 0.250)
Y (0.750, 0.750, 0.750)
Sn (0.000, 0.000, 0.000)

(17)
DFT (PBE-GGA) results for crystalline LuZnSnHg at its relaxed geometry.

Summary:
E_tot in eV for the cell shown: -10.67

a = 5.062 Å, b = 5.062 Å, c = 5.062 Å
α = 60.00°, β = 60.00°, γ = 60.00°
Fractional coordinates of all 4 atoms:
Hg (0.000, 0.000, 0.000)
Lu (0.750, 0.750, 0.750)
Sn (0.250, 0.250, 0.250)
Zn (0.500, 0.500, 0.500)

(18)
DFT (PBE-GGA) results for crystalline LuZrSnHg at its relaxed geometry.

Summary:
E_tot in eV for the cell shown: -18.64

a = 5.097 Å, b = 5.097 Å, c = 5.097 Å
α = 60.00°, β = 60.00°, γ = 60.00°
Fractional coordinates of all 4 atoms:
Zr (0.000, 0.000, 0.000)
Sn (0.750, 0.750, 0.750)
Hg (0.250, 0.250, 0.250)
Lu (0.500, 0.500, 0.500)

(19)
DFT (PBE-GGA) results for crystalline SrLu2Hg at its relaxed geometry.

Summary:
E_tot in eV for the cell shown: -10.61

a = 3.661 Å, b = 3.661 Å, c = 11.660 Å
α = 80.97°, β = 80.97°, γ = 60.00°
Fractional coordinates of all 4 atoms:
Sr (0.000, 0.000, 0.000)
Lu (0.898, 0.898, 0.306)
Lu (0.102, 0.102, 0.694)
Hg (0.500, 0.500, 0.500)

(20)
DFT (PBE-GGA) results for crystalline SrLuHg2 at its relaxed geometry.

Summary:
E_tot in eV for the cell shown: -8.77

a = 3.793 Å, b = 3.793 Å, c = 7.704 Å
α = 90.00°, β = 90.00°, γ = 90.00°
Fractional coordinates of all 4 atoms:
Sr (0.500, 0.500, 0.500)
Hg (0.000, 0.000, 0.216)
Hg (0.000, 0.000, 0.784)
Lu (0.500, 0.500, 0.000)

(21)
DFT (PBE-GGA) results for crystalline SrLuZnHg at its relaxed geometry.

Summary:
E_tot in eV for the cell shown: -8.93

a = 5.312 Å, b = 5.312 Å, c = 5.312 Å
α = 60.00°, β = 60.00°, γ = 60.00°
Fractional coordinates of all 4 atoms:
Lu (0.250, 0.250, 0.250)
Sr (0.750, 0.750, 0.750)
Hg (0.500, 0.500, 0.500)
Zn (0.000, 0.000, 0.000)

(22)
DFT (PBE-GGA) results for crystalline Tb2LuHg at its relaxed geometry.

Summary:
E_tot in eV for the cell shown: -14.36

a = 5.386 Å, b = 5.386 Å, c = 5.386 Å
α = 60.00°, β = 60.00°, γ = 60.00°
Fractional coordinates of all 4 atoms:
Tb (0.250, 0.250, 0.250)
Tb (0.750, 0.750, 0.750)
Hg (0.500, 0.500, 0.500)
Lu (0.000, 0.000, 0.000)

(23)
DFT (PBE-GGA) results for crystalline TbLuHg at its relaxed geometry.

Summary:
E_tot in eV for the cell shown: -10.34

a = 3.574 Å, b = 3.574 Å, c = 6.887 Å
α = 105.04°, β = 105.04°, γ = 90.00°
Site moments in Bohr magnetons follow the coordinates.
Fractional coordinates of all 3 atoms:
Tb (0.010, 0.010, 0.020)  0.40
Hg (0.672, 0.672, 0.343)  0.02
Lu (0.319, 0.319, 0.637)  0.32

(24)
DFT (PBE-GGA) results for crystalline TbLuHg2 at its relaxed geometry.

Summary:
E_tot in eV for the cell shown: -11.66

a = 3.662 Å, b = 3.662 Å, c = 7.506 Å
α = 90.00°, β = 90.00°, γ = 90.00°
Site moments in Bohr magnetons follow the coordinates.
Fractional coordinates of all 4 atoms:
Tb (0.500, 0.500, 0.500)  0.14
Hg (0.000, 0.000, 0.238)  0.01
Hg (0.000, 0.000, 0.762)  0.01
Lu (0.500, 0.500, 0.000)  0.01

(25)
DFT (PBE-GGA) results for crystalline Tb2LuHg at its relaxed geometry.

Summary:
E_tot in eV for the cell shown: -14.59

a = 3.826 Å, b = 5.394 Å, c = 5.394 Å
α = 90.00°, β = 90.00°, γ = 90.00°
Fractional coordinates of all 4 atoms:
Tb (0.000, 0.000, 0.500)
Tb (0.000, 0.500, 0.000)
Lu (0.500, 0.500, 0.500)
Hg (0.500, 0.000, 0.000)

(26)
DFT (PBE-GGA) results for crystalline Tb2LuHg at its relaxed geometry.

Summary:
E_tot in eV for the cell shown: -14.94

a = 3.590 Å, b = 3.590 Å, c = 8.872 Å
α = 90.00°, β = 90.00°, γ = 90.00°
Fractional coordinates of all 4 atoms:
Lu (0.500, 0.500, 0.500)
Tb (0.000, 0.000, 0.227)
Tb (0.000, 0.000, 0.773)
Hg (0.500, 0.500, 0.000)

(27)
DFT (PBE-GGA) results for crystalline TbLuHg2 at its relaxed geometry.

Summary:
E_tot in eV for the cell shown: -11.64

a = 5.227 Å, b = 5.227 Å, c = 5.227 Å
α = 60.00°, β = 60.00°, γ = 60.00°
Fractional coordinates of all 4 atoms:
Hg (0.250, 0.250, 0.250)
Hg (0.750, 0.750, 0.750)
Tb (0.000, 0.000, 0.000)
Lu (0.500, 0.500, 0.500)

(28)
DFT (PBE-GGA) results for crystalline TbLuHg at its relaxed geometry.

Summary:
E_tot in eV for the cell shown: -10.01

a = 3.685 Å, b = 5.096 Å, c = 5.096 Å
α = 120.00°, β = 90.00°, γ = 90.00°
Fractional coordinates of all 3 atoms:
Tb (0.630, 0.667, 0.333)
Lu (0.105, 0.000, 0.000)
Hg (0.265, 0.333, 0.667)

(29)
DFT (PBE-GGA) results for crystalline Tb2LuHg at its relaxed geometry.

Summary:
E_tot in eV for the cell shown: -13.68

a = 3.479 Å, b = 3.479 Å, c = 12.087 Å
α = 81.73°, β = 81.73°, γ = 60.00°
Fractional coordinates of all 4 atoms:
Hg (0.000, 0.000, 0.000)
Tb (0.089, 0.089, 0.733)
Tb (0.911, 0.911, 0.267)
Lu (0.500, 0.500, 0.500)

(30)
DFT (PBE-GGA) results for crystalline TbLuTcHg at its relaxed geometry.

Summary:
E_tot in eV for the cell shown: -20.49

a = 4.998 Å, b = 4.998 Å, c = 4.998 Å
α = 60.00°, β = 60.00°, γ = 60.00°
Fractional coordinates of all 4 atoms:
Lu (0.000, 0.000, 0.000)
Tb (0.500, 0.500, 0.500)
Tc (0.750, 0.750, 0.750)
Hg (0.250, 0.250, 0.250)

(31)
DFT (PBE-GGA) results for crystalline TbLuTlHg at its relaxed geometry.

Summary:
E_tot in eV for the cell shown: -13.36

a = 5.286 Å, b = 5.286 Å, c = 5.286 Å
α = 60.00°, β = 60.00°, γ = 60.00°
Site moments in Bohr magnetons follow the coordinates.
Fractional coordinates of all 4 atoms:
Tb (0.250, 0.250, 0.250)  0.08
Tl (0.000, 0.000, 0.000)  0.00
Hg (0.500, 0.500, 0.500)  0.01
Lu (0.750, 0.750, 0.750)  0.07